4
Lattice="3.6877 0.0000 0.0000 0.0000 3.6877 0.0000 0.0000 0.0000 8.5273" Properties=species:S:1:pos:R:3 comment="Pr2AuI (PBE, optimized geometry)" dos_at_fermi_per_ev_fu=4.17 relative_energy_ev_per_fu=0.351 volume_a3_per_atom=28.99 raw_formation_energy_mev_per_atom=-744 space_group="P4/mmm (123)" magnetic_moment_mub_per_fu=0.001 pbc="T T T"
Pr 0.0000 0.0000 1.9059
Pr 0.0000 0.0000 6.6214
Au 1.8439 1.8439 0.0000
I 1.8439 1.8439 4.2637

6
Lattice="2.8004 0.0000 0.0000 0.0000 2.8004 0.0000 0.0000 0.0000 11.6807" Properties=species:S:1:pos:R:3 comment="Zn5P (PBE, optimized geometry)" dos_at_fermi_per_ev_fu=2.79 relative_energy_ev_per_fu=0.657 volume_a3_per_atom=15.27 formation_energy_mev_per_atom=169 space_group="P4/mmm (123)" magnetic_moment_mub_per_fu=0.000 pbc="T T T"
Zn 0.0000 0.0000 0.0000
Zn 0.0000 0.0000 3.8309
Zn 0.0000 0.0000 7.8498
Zn 1.4002 1.4002 1.9137
Zn 1.4002 1.4002 9.7670
P 1.4002 1.4002 5.8404

6
Lattice="11.3482 0.0000 0.0000 0.0000 1.5818 2.7550 0.0000 -1.5818 2.7550" Properties=species:S:1:pos:R:3 comment="CoWSe (PBE, optimized geometry)" dos_at_fermi_per_ev_fu=1.52 relative_energy_ev_per_fu=0.000 volume_a3_per_atom=16.48 raw_formation_energy_mev_per_atom=260 space_group="Amm2 (38)" magnetic_moment_mub_per_fu=0.000 pbc="T T T"
Co 1.5912 0.0000 0.0000
Co 9.7570 0.0000 0.0000
W 0.0000 0.0000 1.8482
W 5.6741 0.0000 1.2793
Se 3.8984 0.0000 3.1012
Se 7.4497 0.0000 3.1012

5
Lattice="6.1570 0.0000 0.0000 0.0000 6.1570 0.0000 0.0000 0.0000 6.0923" Properties=species:S:1:pos:R:3 comment="RbTl2BiSb (PBE, optimized geometry)" dos_at_fermi_per_ev_fu=4.31 relative_energy_ev_per_fu=1.466 volume_a3_per_atom=46.19 raw_formation_energy_mev_per_atom=165 space_group="P4/mmm (123)" magnetic_moment_mub_per_fu=0.000 pbc="T T T"
Rb 0.0000 0.0000 0.0000
Tl 0.0000 3.0785 3.0462
Tl 3.0785 0.0000 3.0462
Bi 3.0785 3.0785 3.0462
Sb 3.0785 3.0785 0.0000

6
Lattice="5.2620 0.0000 0.0000 -2.6310 4.5570 0.0000 0.0000 0.0000 6.2767" Properties=species:S:1:pos:R:3 comment="CaCuBi (PBE, optimized geometry)" dos_at_fermi_per_ev_fu=0.20 volume_a3_per_atom=25.08 formation_energy_mev_per_atom=-114 space_group="P6_3/mmc (194)" magnetic_moment_mub_per_fu=0.000 pbc="T T T"
Ca 0.0000 3.0380 1.5692
Ca 2.6310 1.5190 4.7075
Cu 0.0000 0.0000 0.0000
Cu 0.0000 0.0000 3.1383
Bi 0.0000 3.0380 4.7075
Bi 2.6310 1.5190 1.5692

15
Lattice="-6.1400 6.1400 3.8759 6.1400 -6.1400 3.8759 6.1400 6.1400 -3.8759" Properties=species:S:1:pos:R:3 comment="Tb4Sm10Er (PBE, optimized geometry)" dos_at_fermi_per_ev_fu=19.23 volume_a3_per_atom=38.96 formation_energy_mev_per_atom=711 space_group="I4/m (87)" magnetic_moment_mub_per_fu=0.000 pbc="T T T"
Tb 8.6056 1.2342 0.0000
Tb 1.2342 3.6743 0.0000
Tb 4.9058 2.4656 3.8759
Tb -2.4656 4.9058 3.8759
Sm 7.3592 3.6833 -1.9331
Sm 3.6833 4.9207 -1.9331
Sm 6.1400 0.0000 1.9379
Sm 2.4567 1.2192 1.9428
Sm -1.2192 2.4567 1.9428
Sm 7.3592 3.6833 1.9331
Sm 3.6833 4.9207 1.9331
Sm 0.0000 6.1400 1.9379
Sm 2.4567 1.2192 5.8089
Sm -1.2192 2.4567 5.8089
Er 0.0000 0.0000 3.8759

6
Lattice="2.3326 -7.0301 0.0000 2.3326 7.0301 0.0000 0.0000 0.0000 3.2269" Properties=species:S:1:pos:R:3 comment="PaW5 (PBE, optimized geometry)" dos_at_fermi_per_ev_fu=4.91 volume_a3_per_atom=17.64 formation_energy_mev_per_atom=241 space_group="Cmmm (65)" magnetic_moment_mub_per_fu=0.000 pbc="T T T"
Pa 0.0000 0.0000 0.0000
W 2.3326 4.5935 1.6134
W 2.3326 2.4424 0.0000
W 2.3326 0.0000 1.6134
W 2.3326 -2.4424 0.0000
W 2.3326 -4.5935 1.6134

6
Lattice="2.8358 0.0000 0.0000 0.0000 2.8358 0.0000 0.0000 0.0000 11.6515" Properties=species:S:1:pos:R:3 comment="Ti3GaPt2 (PBE, optimized geometry)" dos_at_fermi_per_ev_fu=4.46 relative_energy_ev_per_fu=0.000 volume_a3_per_atom=15.62 formation_energy_mev_per_atom=-769 space_group="P4/mmm (123)" magnetic_moment_mub_per_fu=0.009 pbc="T T T"
Ti 0.0000 0.0000 0.0000
Ti 0.0000 0.0000 3.8614
Ti 0.0000 0.0000 7.7901
Ga 1.4179 1.4179 5.8257
Pt 1.4179 1.4179 1.9328
Pt 1.4179 1.4179 9.7187

6
Lattice="3.2796 0.0000 0.0000 0.0000 3.2795 0.0000 -0.0367 0.0000 11.6940" Properties=species:S:1:pos:R:3 comment="NaTaTc (PBE, optimized geometry)" dos_at_fermi_per_ev_fu=2.30 relative_energy_ev_per_fu=0.000 volume_a3_per_atom=20.96 formation_energy_mev_per_atom=171 space_group="P2_1/m (11)" magnetic_moment_mub_per_fu=0.000 pbc="T T T"
Na 0.8001 0.8199 1.4916
Na 2.4428 2.4596 10.2024
Ta 0.8012 0.8199 4.9244
Ta 2.4417 2.4596 6.7696
Tc 0.8024 0.8199 7.9968
Tc 2.4405 2.4596 3.6973

18
Lattice="1.9701 -6.1486 0.0000 1.9701 6.1486 0.0000 0.0000 0.0000 12.1323" Properties=species:S:1:pos:R:3 comment="AcP3Ru5 (PBE, optimized geometry)" dos_at_fermi_per_ev_fu=6.46 volume_a3_per_atom=16.33 formation_energy_mev_per_atom=-598 space_group="Cmcm (63)" magnetic_moment_mub_per_fu=0.000 pbc="T T T"
Ac 1.9701 4.1937 9.0992
Ac 1.9701 -4.1937 3.0331
P 1.9701 4.5944 3.0331
P 1.9701 1.4060 0.4720
P 1.9701 1.4060 5.5942
P 1.9701 -1.4060 6.5381
P 1.9701 -1.4060 11.6603
P 1.9701 -4.5944 9.0992
Ru 0.0000 0.0000 0.0000
Ru 0.0000 0.0000 6.0661
Ru 1.9701 3.6329 0.8715
Ru 1.9701 3.6329 5.1946
Ru 1.9701 0.6962 7.8466
Ru 1.9701 0.6962 10.3518
Ru 1.9701 -0.6962 1.7805
Ru 1.9701 -0.6962 4.2857
Ru 1.9701 -3.6329 6.9376
Ru 1.9701 -3.6329 11.2607

8
Lattice="-1.9068 1.9068 9.5875 1.9068 -1.9068 9.5875 1.9068 1.9068 -9.5875" Properties=species:S:1:pos:R:3 comment="ScZn2Ir (PBE, optimized geometry)" dos_at_fermi_per_ev_fu=1.49 volume_a3_per_atom=17.43 formation_energy_mev_per_atom=-221 space_group="I-42d (122)" magnetic_moment_mub_per_fu=0.000 pbc="T T T"
Sc 0.0000 0.0000 0.0000
Sc 0.0000 1.9068 4.7938
Zn 0.9534 -0.8178 7.1906
Zn 1.0890 0.9534 2.3969
Zn 0.9534 2.7246 -2.3969
Zn 0.8178 0.9534 11.9844
Ir 1.9068 0.0000 4.7938
Ir 0.0000 0.0000 9.5875

10
Lattice="7.6973 0.0000 0.0000 0.0000 4.2803 0.0000 -2.4121 0.0000 7.7852" Properties=species:S:1:pos:R:3 comment="La2ZnHgRu (PBE, optimized geometry)" dos_at_fermi_per_ev_fu=3.43 relative_energy_ev_per_fu=0.000 volume_a3_per_atom=25.65 formation_energy_mev_per_atom=-379 space_group="P2_1/m (11)" magnetic_moment_mub_per_fu=0.000 pbc="T T T"
La 0.1644 1.0701 2.6697
La -0.2468 1.0701 7.4499
La 5.5321 3.2102 0.3353
La 5.1209 3.2102 5.1155
Zn 2.6318 3.2102 2.5168
Zn 2.6534 1.0701 5.2684
Hg 0.8981 3.2102 5.1193
Hg 4.3871 1.0701 2.6659
Ru 0.7619 3.2102 0.7815
Ru 4.5234 1.0701 7.0037

4
Lattice="0.0000 3.7127 3.7127 3.7127 0.0000 3.7127 3.7127 3.7127 0.0000" Properties=species:S:1:pos:R:3 comment="YMnTe2 (PBE, optimized geometry)" dos_at_fermi_per_ev_fu=4.61 volume_a3_per_atom=25.59 raw_formation_energy_mev_per_atom=-5 space_group="F-43m (216)" magnetic_moment_mub_per_fu=4.219 pbc="T T T"
Y 0.0000 0.0000 0.0000
Mn 5.5691 5.5691 5.5691
Te 1.8564 1.8564 1.8564
Te 3.7127 3.7127 3.7127

5
Lattice="4.8577 0.0000 0.0000 0.0000 4.8577 0.0000 0.0000 0.0000 4.7541" Properties=species:S:1:pos:R:3 comment="CrCdAs2Os (PBE, optimized geometry)" dos_at_fermi_per_ev_fu=9.28 volume_a3_per_atom=22.44 formation_energy_mev_per_atom=2399 space_group="P4/mmm (123)" magnetic_moment_mub_per_fu=0.585 pbc="T T T"
Cr 0.0000 0.0000 0.0000
Cd 0.0000 0.0000 2.3771
As 0.0000 2.4289 2.3771
As 2.4289 0.0000 2.3771
Os 2.4289 2.4289 0.0000

18
Lattice="6.4717 0.0000 0.0000 -3.2358 5.6046 0.0000 0.0000 0.0000 12.1033" Properties=species:S:1:pos:R:3 comment="LiHfAgCl6 (PBE, optimized geometry)" dos_at_fermi_per_ev_fu=0.00 volume_a3_per_atom=24.39 raw_formation_energy_mev_per_atom=-1528 space_group="P-31c (163)" magnetic_moment_mub_per_fu=0.000 pbc="T T T"
Li 0.0000 3.7364 3.0258
Li 3.2358 1.8682 9.0775
Hf 0.0000 3.7364 9.0775
Hf 3.2358 1.8682 3.0258
Ag 0.0000 0.0000 0.0000
Ag 0.0000 0.0000 6.0517
Cl -1.0825 2.0280 7.6679
Cl -2.0208 3.6532 10.4871
Cl 1.0825 2.0280 10.4871
Cl -0.9383 5.5281 7.6679
Cl 2.2975 0.0765 1.6162
Cl 1.2150 1.9515 4.4354
Cl 2.0208 3.6532 7.6679
Cl 0.9383 5.5281 10.4871
Cl 4.1741 0.0765 4.4354
Cl 2.1533 3.5767 1.6162
Cl 5.2567 1.9515 1.6162
Cl 4.3184 3.5767 4.4354

5
Lattice="5.9773 0.0000 0.0000 0.0000 5.9773 0.0000 0.0000 0.0000 5.2221" Properties=species:S:1:pos:R:3 comment="CsK2TiIr (PBE, optimized geometry)" dos_at_fermi_per_ev_fu=12.57 volume_a3_per_atom=37.32 formation_energy_mev_per_atom=2140 space_group="P4/mmm (123)" magnetic_moment_mub_per_fu=0.056 pbc="T T T"
Cs 0.0000 0.0000 0.0000
K 0.0000 2.9887 0.0000
K 2.9887 0.0000 0.0000
Ti 0.0000 0.0000 2.6111
Ir 2.9887 2.9887 2.6111

4
Lattice="3.1455 0.0000 0.0000 0.0000 3.1455 0.0000 0.0000 0.0000 5.7869" Properties=species:S:1:pos:R:3 comment="V2CuAu (PBE, optimized geometry)" dos_at_fermi_per_ev_fu=4.86 volume_a3_per_atom=14.31 formation_energy_mev_per_atom=38 space_group="P4mm (99)" magnetic_moment_mub_per_fu=0.005 pbc="T T T"
V 0.0000 0.0000 0.0000
V 1.5728 1.5728 1.2598
Cu 1.5728 1.5728 4.3977
Au 0.0000 0.0000 2.9092

6
Lattice="2.2671 -4.8032 0.0000 2.2671 4.8032 0.0000 0.0000 0.0000 4.5665" Properties=species:S:1:pos:R:3 comment="LiZrRu (PBE, optimized geometry)" dos_at_fermi_per_ev_fu=1.35 relative_energy_ev_per_fu=0.078 volume_a3_per_atom=16.58 formation_energy_mev_per_atom=-204 space_group="Cmcm (63)" magnetic_moment_mub_per_fu=0.000 pbc="T T T"
Li 2.2671 4.2327 3.4249
Li 2.2671 -4.2327 1.1416
Zr 2.2671 2.3556 1.1416
Zr 2.2671 -2.3556 3.4249
Ru 2.2671 0.8652 3.4249
Ru 2.2671 -0.8652 1.1416

4
Lattice="2.8598 -4.4113 0.0000 2.8598 4.4113 0.0000 0.0000 0.0000 2.6824" Properties=species:S:1:pos:R:3 comment="SrBeRu2 (PBE, optimized geometry)" dos_at_fermi_per_ev_fu=5.42 volume_a3_per_atom=16.92 formation_energy_mev_per_atom=960 space_group="Cmmm (65)" magnetic_moment_mub_per_fu=0.770 pbc="T T T"
Sr 0.0000 0.0000 0.0000
Be 2.8598 0.0000 0.0000
Ru 1.4299 2.2056 1.3412
Ru 1.4299 -2.2056 1.3412

5
Lattice="5.6905 0.0000 0.0000 0.0000 5.6905 0.0000 0.0000 0.0000 5.6905" Properties=species:S:1:pos:R:3 comment="HgAsPb3 (PBE, optimized geometry)" dos_at_fermi_per_ev_fu=3.54 relative_energy_ev_per_fu=1.644 volume_a3_per_atom=36.85 formation_energy_mev_per_atom=375 space_group="Pm-3m (221)" magnetic_moment_mub_per_fu=0.000 pbc="T T T"
Hg 0.0000 0.0000 0.0000
As 2.8453 2.8453 2.8453
Pb 0.0000 2.8453 2.8453
Pb 2.8453 0.0000 2.8453
Pb 2.8453 2.8453 0.0000

4
Lattice="-1.9014 1.9014 3.7953 1.9014 -1.9014 3.7953 1.9014 1.9014 -3.7953" Properties=species:S:1:pos:R:3 comment="CrRh3 (PBE, optimized geometry)" dos_at_fermi_per_ev_fu=4.92 volume_a3_per_atom=13.72 formation_energy_mev_per_atom=-75 space_group="I4/mmm (139)" magnetic_moment_mub_per_fu=1.355 pbc="T T T"
Cr 0.0000 0.0000 0.0000
Rh 1.9014 0.0000 1.8977
Rh 0.0000 0.0000 3.7953
Rh 0.0000 1.9014 1.8977